[1]
This record from Alexandria via LeMat-Bulk describes crystalline Cs2BeSi2 at its relaxed geometry. The functional is PBE.

a b c (Å): 6.587 6.587 6.282
angles (deg): 90.00 90.00 90.00
Space group P4/mbm (No. 127)
Symmetry-distinct sites (fractional):
Cs  0.181  0.319  0.000 x4
Be  0.000  0.000  0.500 x2
Si  0.134  0.634  0.500 x4

Summary:
DOS(E_F)   2.624 states/eV/f.u.
Magnetic moment   0.00 μB per cell
ΔE to the lowest computed polymorph   0.0 meV/atom
E_form (uncorrected)   3.02 eV/f.u.


[2]
This record from Alexandria via LeMat-Bulk describes crystalline Cs2BeSi2 at its relaxed geometry. The functional is PBE.

a b c (Å): 6.992 6.992 9.352
angles (deg): 90.00 90.00 90.00
Space group I4/mmm (No. 139)
Symmetry-distinct sites (fractional):
Cs  0.000  0.500  0.250 x4
Be  0.000  0.000  0.000 x2
Si  0.000  0.000  0.385 x4

Summary:
DOS(E_F)   0.000 states/eV/f.u.
Magnetic moment   0.00 μB per cell
ΔE to the lowest computed polymorph   212.1 meV/atom
E_form (uncorrected)   4.08 eV/f.u.


[3]
This record from Alexandria via LeMat-Bulk describes crystalline Cs3BeSi at its relaxed geometry. The functional is PBE.

a b c (Å): 7.179 7.179 7.179
angles (deg): 90.00 90.00 90.00
Space group Pm-3m (No. 221)
Symmetry-distinct sites (fractional):
Cs  0.000  0.000  0.500 x3
Be  0.500  0.500  0.500 x1
Si  0.000  0.000  0.000 x1

Summary:
DOS(E_F)   2.061 states/eV/f.u.
Magnetic moment   1.03 μB per cell
E_form (uncorrected)   4.51 eV/f.u.


Question: Among the records above, which one has the highest DOS(E_F)?
Answer: number 1


Question: Which formula does entry 3 have?
Answer: Cs3BeSi


Question: Which value of magnetic moment does entry 1 give?
Answer: 0.00 μB per cell


Question: The highest DOS(E_F) belongs to which entry?
Answer: number 1